No. 1
A relaxed structure of VAgCl2, computed with GGA-PBE.

The value obtained for the magnetic moment is 14.9 μB/cell. The volume is 26.006 A^3/atom. The energy above the lowest structure with this stoichiometry comes out at 34.88 kJ per mole of atoms. The uncorrected formation energy comes out at -147 meV per atom.

It has space group I-42d (No. 122), with a = 6.059 Å, b = 6.059 Å, c = 11.333 Å, α = 90.00°, β = 90.00° and γ = 90.00°. The asymmetric unit holds V at (0.000, 0.000, 0.000), Ag at (0.000, 0.000, 0.500) and Cl at (0.211, 0.250, 0.125).

No. 2
A relaxed structure of VAgCl6, computed with GGA-PBE.

The value obtained for the magnetic moment is 0.0 μB/cell. The volume is 23.944 A^3/atom. The energy above the lowest structure with this stoichiometry comes out at 0.00 kJ per mole of atoms. The uncorrected formation energy comes out at -811 meV per atom.

It has space group P-1 (No. 2), with a = 6.237 Å, b = 6.253 Å, c = 6.710 Å, α = 117.67°, β = 90.03° and γ = 119.90°. The asymmetric unit holds V at (0.000, 0.000, 0.000), Ag at (0.500, 0.000, 0.500), Cl at (0.065, 0.446, 0.231), Cl at (0.218, 0.151, 0.769) and Cl at (0.383, 0.165, 0.232).

No. 3
A relaxed structure of VAgCl2, computed with GGA-PBE.

The value obtained for the magnetic moment is 0.8 μB/cell. The volume is 21.850 A^3/atom. The energy above the lowest structure with this stoichiometry comes out at 0.00 kJ per mole of atoms. The uncorrected formation energy comes out at -509 meV per atom.

It has space group R-3m (No. 166, hexagonal axes), with a = 3.0855 Å, b = 3.0855 Å, c = 31.8017 Å, α = 90.00°, β = 90.00° and γ = 120.00°. The asymmetric unit holds V at (0.0000, 0.0000, 0.0000), Ag at (0.0000, 0.0000, 0.5000) and Cl at (0.0000, 0.0000, 0.3834).

No. 4
A relaxed structure of VAgCl4, computed with GGA-PBE.

The value obtained for the magnetic moment is 8.0 μB/cell. The volume is 26.482 A^3/atom. The energy above the lowest structure with this stoichiometry comes out at 0.00 kJ per mole of atoms. The uncorrected formation energy comes out at -931 meV per atom.

It has space group C2/c (No. 15), with a = 8.057 Å, b = 14.304 Å, c = 6.073 Å, α = 90.00°, β = 114.77° and γ = 90.00°. The asymmetric unit holds V at (0.000, 0.062, 0.250), Ag at (0.000, 0.271, 0.750), Cl at (0.175, 0.186, 0.187) and Cl at (0.189, 0.052, 0.675).

No. 5
A relaxed structure of VAgCl6, computed with GGA-PBE.

The value obtained for the magnetic moment is 0.2 μB/cell. The volume is 26.861 A^3/atom. The energy above the lowest structure with this stoichiometry comes out at 2.49 kJ per mole of atoms. The uncorrected formation energy comes out at -785 meV per atom.

It has space group C2/m (No. 12), with a = 6.307 Å, b = 11.371 Å, c = 6.152 Å, α = 90.00°, β = 103.08° and γ = 90.00°. The asymmetric unit holds V at (0.000, 0.000, 0.000), Ag at (0.000, 0.500, 0.500), Cl at (0.184, 0.142, 0.229) and Cl at (0.232, 0.500, 0.197).

No. 6
A relaxed structure of VAg5Cl8, computed with GGA-PBE.

The value obtained for the magnetic moment is 4.0 μB/cell. The volume is 26.876 A^3/atom. The uncorrected formation energy comes out at -602 meV per atom.

It has space group I-4 (No. 82), with a = 9.762 Å, b = 9.762 Å, c = 7.897 Å, α = 90.00°, β = 90.00° and γ = 90.00°. The asymmetric unit holds V at (0.000, 0.000, 0.000), Ag at (0.000, 0.500, 0.250), Ag at (0.202, 0.251, 0.381), Cl at (0.035, 0.801, 0.863) and Cl at (0.083, 0.735, 0.379).